# 1
This record from Alexandria via LeMat-Bulk describes a relaxed structure of La3NiIr. The functional is GGA-PBE.

```
10
Lattice="7.294 -2.154 0.000 7.294 2.154 0.000 -2.542 0.000 9.421" Properties=species:S:1:pos:R:3 pbc="T T T"
La -0.208 0.000 2.853
La 3.621 0.000 3.526
La 2.694 0.000 9.383
La 9.352 0.000 0.039
La 8.425 0.000 5.895
La 12.254 0.000 6.568
Ni 3.012 0.000 6.470
Ni 9.034 0.000 2.951
Ir 0.319 0.000 7.651
Ir 11.727 0.000 1.771
```

The crystal system is monoclinic.

=====

# 2
This record from Alexandria via LeMat-Bulk describes a relaxed structure of LaNiIr. The functional is GGA-PBE.

```
3
Lattice="2.940 0.000 0.000 -1.470 2.546 0.000 0.000 0.000 7.222" Properties=species:S:1:pos:R:3 pbc="T T T"
La 0.000 0.000 0.000
Ni 0.000 1.697 2.626
Ir 1.470 0.849 4.570
```

The crystal system is trigonal.

=====

Which size of the total moment belongs to each record? In order, 0.000 0.202 μB/atom.
Which VASP energy belongs to each record? In order, -6.347 -6.062 eV per atom.
Which ΔH_f (0 K) belongs to each record? In order, -461.8 461.0 meV per atom.